Computed, not measured: a relaxed Fe2CoBiO6 crystal at the GGA+U level of DFT.

Computed properties:
Calculated total energy = -185.1 eV per cell

Cell lengths 5.2925, 5.2925, 14.1738 Å; angles 90.00, 90.00, 120.00 degrees
With the nearest neighbours (Å) after each atom.
Space group R3 (No. 146, hexagonal axes)
Inequivalent atoms, fractional coordinates:
Fe1 0.0000 0.0000 0.0000 (multiplicity 3)  6 O 2.00-2.11
Fe2 0.0000 0.0000 0.4807 (multiplicity 3)  6 O 1.98-2.20
Co1 0.0000 0.0000 0.6848 (multiplicity 3)  6 O 1.92-2.05
Bi1 0.0000 0.0000 0.2154 (multiplicity 3)  6 O 2.29-2.50
O1 0.0027 0.6775 0.0866 (multiplicity 9)  2 Fe 1.98-2.11, 1 Co 2.05
O2 0.0318 0.4268 0.2640 (multiplicity 9)  1 Co 1.92, 1 Fe 2.00